VASP calculation (PBE-GGA) on a relaxed Sr2MnSb4Rh3 crystal.

The uncorrected formation energy comes out at -0.619 eV/atom.

abc: 4.5986 4.5986 10.8459
angles: 90.00 90.00 90.00
Fractional coordinates of all 10 atoms:
Sr: 0.0000 0.5000 0.2501
Sr: 0.5000 0.0000 0.7499
Mn: 0.0000 0.0000 0.5000
Sb: 0.0000 0.0000 0.0000
Sb: 0.0000 0.5000 0.6313
Sb: 0.5000 0.0000 0.3687
Sb: 0.5000 0.5000 0.0000
Rh: 0.0000 0.5000 0.8780
Rh: 0.5000 0.0000 0.1220
Rh: 0.5000 0.5000 0.5000